Computed, not measured: a geometry-optimized YInRe3 structure at the PBE level of DFT.

N(E_F) in states/eV/cell: 6.30
DFT total energy in eV/cell: -32.1
Density in Mg/m³: 11.0

The structure in CIF format:
```
data_YInRe3
_chemical_formula_sum 'Y1 In1 Re3'
_cell_length_a 4.8669
_cell_length_b 4.8669
_cell_length_c 4.8669
_cell_angle_alpha 90.00
_cell_angle_beta 90.00
_cell_angle_gamma 90.00
_space_group_name_H-M_alt 'P 1'
_space_group_IT_number 1
_space_group_name_Hall 'P 1'
loop_
_atom_site_label
_atom_site_type_symbol
_atom_site_fract_x
_atom_site_fract_y
_atom_site_fract_z
Y1 Y 0.0000 0.0000 0.0000
Re1 Re 0.0000 0.5000 0.0000
Re2 Re 0.0000 0.0000 0.5000
Re3 Re 0.5000 0.0000 0.0000
In1 In 0.5000 0.5000 0.5000
```